1.
The following is a GGA-PBE calculation of a geometry-optimized BaPuMg structure, from OQMD via LeMat-Bulk.

Unit cell a=6.286 b=6.286 c=6.286 alpha=60.00 beta=60.00 gamma=60.00
Element x y z (fractional)
Ba  0.000  0.000  0.000
Pu  0.250  0.250  0.250
Mg  0.750  0.750  0.750

## Properties
Crystal system: cubic
Size of the total moment (Bohr magnetons per cell): 7.36
Energy relative to the lowest polymorph listed for this composition (meV per atom): 379

***

2.
The following is a GGA-PBE calculation of a geometry-optimized CoNiSbMo structure, from OQMD via LeMat-Bulk.

Unit cell a=4.338 b=4.338 c=4.338 alpha=60.00 beta=60.00 gamma=60.00
Element x y z (fractional)
Co  0.000  0.000  0.000
Ni  0.250  0.250  0.250
Sb  0.750  0.750  0.750
Mo  0.500  0.500  0.500

## Properties
Crystal system: cubic
Size of the total moment (Bohr magnetons per cell): 0.81
Energy relative to the lowest polymorph listed for this composition (meV per atom): 0